1.
Crystalline ZrVCr2Cd at its relaxed geometry. Source: the Alexandria database, functional GGA-PBE.

Cell: 4.8405 5.2916 4.8405 Å, 90.00 90.00 90.00°
Last column: nearest neighbours and their distance in Å.
Positions (direct):
Cr (0.0000, 0.0000, 0.5000)  2 Cd 2.42
V (0.5000, 0.5000, 0.5000)  4 Zr 3.42, 8 Cr 3.59
Zr (0.0000, 0.5000, 0.0000)  2 Cd 2.65
Cd (0.0000, 0.0000, 0.0000)  4 Cr 2.42, 2 Zr 2.65
Cr (0.5000, 0.0000, 0.0000)  2 Cd 2.42

Summary:
- electronic total energy (eV per cell) = -28.42
- space group = No. 123
- crystal system = tetragonal
- ΔH_f (0 K) (eV/atom) = 1.881
- V (A^3/atom) = 24.80
- mass density (g/cm3) = 4.8



2.
Crystalline Pm5NdHo at its relaxed geometry. Source: the Alexandria database, functional GGA-PBE.

Cell: 7.0980 6.3030 6.3027 Å, 67.67 80.05 99.87°
Last column: nearest neighbours and their distance in Å.
Positions (direct):
Pm (0.7670, 0.5244, 0.9065)  4 Pm 3.29-3.58, 1 Nd 3.47, 1 Ho 3.47
Pm (0.5000, 0.0000, 0.0000)  4 Pm 3.29, 2 Ho 3.51, 2 Nd 3.55
Pm (0.2329, 0.4756, 0.0935)  4 Pm 3.29-3.58, 1 Nd 3.47, 1 Ho 3.47
Pm (0.2334, 0.9071, 0.5246)  5 Pm 3.29-3.69, 1 Nd 3.47, 1 Ho 3.47
Ho (0.5000, 0.5000, 0.5000)  10 Pm 3.47-3.82
Pm (0.7666, 0.0929, 0.4754)  5 Pm 3.29-3.69, 1 Nd 3.47, 1 Ho 3.47
Nd (0.0000, 0.0000, 0.0000)  10 Pm 3.47-3.84

Summary:
- electronic total energy (eV per cell) = -31.82
- space group = No. 12
- crystal system = monoclinic
- ΔH_f (0 K) (eV/atom) = 0.182
- V (A^3/atom) = 35.44
- mass density (g/cm3) = 6.9



3.
Crystalline TlRu2Se at its relaxed geometry. Source: the Alexandria database, functional GGA-PBE.

Cell: 3.1759 3.1759 8.4426 Å, 90.00 90.00 121.50°
Last column: nearest neighbours and their distance in Å.
Positions (direct):
Tl (0.5000, 0.5000, 0.7500)  4 Ru 2.83, 2 Tl 3.10
Se (0.5000, 0.5000, 0.2500)  4 Ru 2.42
Ru (0.0000, 0.0000, 0.0299)  2 Se 2.42
Ru (0.0000, 0.0000, 0.4701)  2 Se 2.42

Summary:
- electronic total energy (eV per cell) = -21.85
- formation energy (no corrections) (kJ/mol of atoms) = 61.6
- space group = No. 65
- crystal system = orthorhombic
- V (A^3/atom) = 18.15
- mass density (g/cm3) = 11.1



4.
Crystalline AgPdC2 at its relaxed geometry. Source: the Alexandria database, functional GGA-PBE.

Cell: 4.0231 4.0231 4.0231 Å, 60.00 60.00 60.00°
Last column: nearest neighbours and their distance in Å.
Positions (direct):
Pd (0.0000, 0.0000, 0.0000)  8 C 2.46
C (0.2500, 0.2500, 0.2500)  4 Ag 2.46, 4 Pd 2.46
Ag (0.5000, 0.5000, 0.5000)  8 C 2.46
C (0.7500, 0.7500, 0.7500)  4 Pd 2.46, 4 Ag 2.46

Summary:
- electronic total energy (eV per cell) = -18.08
- space group = No. 225
- crystal system = cubic
- ΔH_f (0 K) (eV/atom) = 2.103
- V (A^3/atom) = 11.51
- mass density (g/cm3) = 8.6



5.
Crystalline Tb3Pr4 at its relaxed geometry. Source: the Alexandria database, functional GGA-PBE.

Cell: 3.6526 5.1487 13.1702 Å, 101.27 97.97 90.00°
Last column: nearest neighbours and their distance in Å.
Positions (direct):
Pr (0.7133, 0.2132, 0.4265)  7 Pr 3.64-3.67, 5 Tb 3.64-3.69
Tb (0.0000, 0.5000, 0.0000)  4 Tb 3.64-3.65, 8 Pr 3.64
Pr (0.5709, 0.0709, 0.1419)  4 Pr 3.63-3.65, 8 Tb 3.64-3.65
Pr (0.2868, 0.7868, 0.5735)  7 Pr 3.64-3.67, 5 Tb 3.64-3.69
Pr (0.4291, 0.9291, 0.8581)  4 Pr 3.63-3.65, 8 Tb 3.64-3.65
Tb (0.8577, 0.3577, 0.7154)  3 Tb 3.64-3.65, 9 Pr 3.64-3.69
Tb (0.1423, 0.6423, 0.2846)  3 Tb 3.64-3.65, 9 Pr 3.64-3.69

Summary:
- electronic total energy (eV per cell) = -32.89
- space group = No. 71
- crystal system = orthorhombic
- ΔH_f (0 K) (eV/atom) = 0.016
- V (A^3/atom) = 34.35
- mass density (g/cm3) = 7.2



6.
Crystalline CuOs2Pt at its relaxed geometry. Source: the Alexandria database, functional GGA-PBE.

Cell: 4.7970 4.7970 4.7970 Å, 133.73 133.73 67.51°
Last column: nearest neighbours and their distance in Å.
Positions (direct):
Pt (0.2500, 0.7500, 0.5000)  4 Cu 2.67, 8 Os 2.74
Os (0.5000, 0.5000, 0.0000)  4 Os 2.67, 4 Pt 2.74, 4 Cu 2.74
Os (0.0000, 0.0000, 0.0000)  4 Os 2.67, 4 Cu 2.74, 4 Pt 2.74
Cu (0.7500, 0.2500, 0.5000)  4 Pt 2.67, 8 Os 2.74

Summary:
- electronic total energy (eV per cell) = -31.31
- space group = No. 139
- crystal system = tetragonal
- ΔH_f (0 K) (eV/atom) = 0.321
- V (A^3/atom) = 14.17
- mass density (g/cm3) = 18.7



7.
Crystalline Ho4HgAsSe2 at its relaxed geometry. Source: the Alexandria database, functional GGA-PBE.

Cell: 4.0486 7.2358 7.1886 Å, 71.38 90.00 90.00°
Last column: nearest neighbours and their distance in Å.
Positions (direct):
Ho (0.0000, 0.7538, 0.7422)  3 Se 2.88-2.95, 1 As 2.91, 2 Hg 2.96
Ho (0.5000, 0.2553, 0.7408)  2 As 2.88, 3 Se 2.91-2.96, 1 Hg 2.95
As (0.0000, 0.5000, 0.5000)  6 Ho 2.88-2.91
Se (0.5000, 0.0000, 0.5000)  6 Ho 2.88-2.91
Ho (0.5000, 0.7447, 0.2592)  2 As 2.88, 3 Se 2.91-2.96, 1 Hg 2.95
Ho (0.0000, 0.2462, 0.2578)  3 Se 2.88-2.95, 1 As 2.91, 2 Hg 2.96
Hg (0.5000, 0.5000, 0.0000)  6 Ho 2.95-2.96
Se (0.0000, 0.0000, 0.0000)  6 Ho 2.95-2.96

Summary:
- electronic total energy (eV per cell) = -40.91
- formation energy (no corrections) (kJ/mol of atoms) = -128.8
- space group = No. 10
- crystal system = monoclinic
- V (A^3/atom) = 24.95
- mass density (g/cm3) = 9.1



8.
Crystalline Tb2TmCuS5 at its relaxed geometry. Source: the Alexandria database, functional GGA-PBE.

Cell: 3.8262 8.5065 11.4392 Å, 90.00 90.00 103.00°
Last column: nearest neighbours and their distance in Å.
Positions (direct):
Tb (0.1218, 0.2435, 0.3079)  7 S 2.77-3.08
S (0.0429, 0.0858, 0.0640)  2 Cu 2.29
S (0.3575, 0.7150, 0.0013)  1 Tm 2.70, 4 Tb 2.90-2.94
S (0.6425, 0.2850, 0.5013)  1 Tm 2.70, 4 Tb 2.90-2.94
Tm (0.8052, 0.6103, 0.5101)  6 S 2.59-2.70
S (0.3147, 0.6294, 0.3461)  1 Cu 2.45, 2 Tm 2.68
Tb (0.8927, 0.7854, 0.1851)  8 S 2.85-3.00
S (0.2884, 0.5768, 0.6748)  2 Tm 2.70, 3 Tb 2.86-3.00
Cu (0.4419, 0.8837, 0.4559)  4 S 2.26-2.45
S (0.5022, 0.0044, 0.2787)  1 Cu 2.26
Tm (0.1948, 0.3897, 0.0101)  6 S 2.59-2.70
Tb (0.1073, 0.2146, 0.6851)  8 S 2.85-3.00
S (0.6853, 0.3706, 0.8461)  1 Cu 2.45, 2 Tm 2.68
Cu (0.5581, 0.1163, 0.9559)  4 S 2.26-2.45
S (0.4978, 0.9956, 0.7787)  1 Cu 2.26
Tb (0.8782, 0.7565, 0.8079)  7 S 2.77-3.08
S (0.9571, 0.9142, 0.5640)  2 Cu 2.29
S (0.7116, 0.4232, 0.1748)  2 Tm 2.70, 3 Tb 2.86-3.00

Summary:
- electronic total energy (eV per cell) = -108.07
- formation energy (no corrections) (kJ/mol of atoms) = -166.9
- space group = No. 36
- crystal system = orthorhombic
- V (A^3/atom) = 20.15
- mass density (g/cm3) = 6.5